Compound: MnTeI2O
Source: Alexandria via LeMat-Bulk
Functional: GGA+U
Structure: relaxed

```
data_MnTeI2O
_symmetry_space_group_name_H-M 'P 4/m m m'
_symmetry_Int_Tables_number 123
_symmetry_space_group_name_Hall '-P 4 2'
_cell_length_a 6.259
_cell_length_b 6.259
_cell_length_c 4.099
_cell_angle_alpha 90.00
_cell_angle_beta 90.00
_cell_angle_gamma 90.00
loop_
_atom_site_label
_atom_site_type_symbol
_atom_site_fract_x
_atom_site_fract_y
_atom_site_fract_z
Mn1 Mn 0.000 0.000 0.000
Te1 Te 0.500 0.500 0.500
I1 I 0.000 0.500 0.500
O1 O 0.500 0.500 0.000
```

Properties
relative energy among the computed polymorphs = 1.151 eV/f.u.
total moment = 5.88 μB/f.u.
crystal system = tetragonal
total DFT energy (no corrections) = -3.721 eV/atom
N(E_F) = 1.25 states/eV/cell